1.
First-principles (GGA-PBE) data for crystalline CuGeBi3 at its relaxed geometry, as listed in Alexandria.

abc: 5.513 5.513 5.513
angles: 90.00 90.00 90.00
Positions (direct):
1 Ge 0.000 0.000 0.000
2 Bi 0.000 0.500 0.000
3 Bi 0.000 0.000 0.500
4 Bi 0.500 0.000 0.000
5 Cu 0.500 0.500 0.500

Relative energy among the computed polymorphs (eV per formula unit): 1.94
Formation energy (eV per formula unit): 4.588
N(E_F) (states/eV per atom): 0.62


2.
First-principles (GGA-PBE) data for crystalline Zr3ReRu2 at its relaxed geometry, as listed in Alexandria.

abc: 3.285 3.285 9.872
angles: 90.00 90.00 90.00
Positions (direct):
1 Zr 0.000 0.000 0.000
2 Zr 0.000 0.000 0.666
3 Zr 0.000 0.000 0.334
4 Re 0.500 0.500 0.500
5 Ru 0.500 0.500 0.837
6 Ru 0.500 0.500 0.163

Formation energy (eV per formula unit): -3.118
N(E_F) (states/eV per atom): 0.35


3.
First-principles (GGA-PBE) data for crystalline LaDyY4 at its relaxed geometry, as listed in Alexandria.

abc: 3.593 6.224 9.522
angles: 96.11 79.09 73.35
Positions (direct):
1 La 0.997 0.001 0.502
2 Dy 0.497 0.501 0.002
3 Y 0.162 0.503 0.672
4 Y 0.833 0.499 0.332
5 Y 0.666 0.000 0.165
6 Y 0.328 0.002 0.839

Relative energy among the computed polymorphs (eV per formula unit): 0.00
Formation energy (eV per formula unit): 0.149
N(E_F) (states/eV per atom): 1.46


4.
First-principles (GGA-PBE) data for crystalline FeGeB2Ir at its relaxed geometry, as listed in Alexandria.

abc: 3.940 4.551 3.940
angles: 90.00 90.00 90.00
Positions (direct):
1 Ge 0.000 0.000 0.000
2 Ir 0.500 0.500 0.500
3 Fe 0.000 0.500 0.000
4 B 0.000 0.000 0.500
5 B 0.500 0.000 0.000

Formation energy (eV per formula unit): 9.101
N(E_F) (states/eV per atom): 0.76